--- A ---
Density functional theory data (PBE) for a relaxed LiTbPu crystal.

```
LiTbPu
1.0
3.373 0.000 0.000
-1.686 2.921 0.000
0.000 0.000 8.342
Li Tb Pu
1 1 1
Direct
0.333 0.667 0.668
0.667 0.333 0.336
0.000 0.000 0.996
```

## Properties
Space group: P3m1
Size of the total moment, μB/cell: 5.9

***

--- B ---
Density functional theory data (PBE) for a relaxed LiTbPu crystal.

```
LiTbPu
1.0
-3.586 -0.851 -0.322
-1.798 -1.543 2.842
-5.080 11.344 5.354
Tb Li Pu
2 2 2
Direct
0.574 0.574 0.277
0.426 0.426 0.723
0.307 0.307 0.078
0.693 0.693 0.922
0.845 0.845 0.465
0.155 0.155 0.535
```

## Properties
Space group: R-3m
Size of the total moment, μB/cell: 0.0

***

--- C ---
Density functional theory data (PBE) for a relaxed LiTbPu crystal.

```
LiTbPu
1.0
-3.137 0.633 0.864
0.345 -1.935 2.669
3.633 6.422 2.130
Li Tb Pu
1 1 1
Direct
0.998 0.998 0.996
0.664 0.664 0.327
0.338 0.338 0.677
```

## Properties
Space group: I4mm
Size of the total moment, μB/cell: 6.0

***

Relative energies with respect to the most stable structure, expressed in kJ/mol of atoms: A 0.0; B 0.6; C 1.1.